Version A
Fe2B2Mo PBE-GGA optimized geometry; space-group type = P4/mmm, No. 123; crystal system = tetragonal; total magnetization = 2.8 μB/f.u.
1.0
4.0325 0.0000 0.0000
0.0000 4.0325 0.0000
0.0000 0.0000 4.5321
Fe B Mo
2 2 1
Cartesian
0.0000 0.0000 0.0000
2.0162 2.0162 0.0000
0.0000 2.0162 2.2660
2.0162 0.0000 2.2660
0.0000 0.0000 2.2660

=====

Version B
Fe2B2Mo PBE-GGA optimized geometry; space-group type = P2_1/m, No. 11; crystal system = monoclinic; total magnetization = 2.3 μB/f.u.
1.0
3.7873 0.0000 0.0000
0.0000 2.9610 0.0000
-0.8833 0.0000 8.6058
Fe B Mo
4 4 2
Cartesian
0.4735 0.7402 0.8982
0.5008 2.2207 4.3311
2.4031 0.7402 4.2747
2.4304 2.2207 7.7076
0.4938 0.7402 2.8850
0.5380 2.2207 8.4231
2.3659 0.7402 0.1827
2.4102 2.2207 5.7208
0.5547 0.7402 6.5050
2.3493 2.2207 2.1008

=====

Of them, version B has the highest stability.